Below is a crystal of PdPtSe3 relaxed with PBEsol, with properties calculated at the SCAN level.

Lattice parameters (Å, degrees): 4.8607 4.8607 4.8607 90.00 90.00 90.00
With the nearest neighbours (Å) after each atom.
Space group Pm-3m (No. 221)
One atom of each set of equivalent atoms:
Pd  0.0000  0.0000  0.0000 x1  12 Se 3.44
Pt  0.5000  0.5000  0.5000 x1  6 Se 2.43
Se  0.0000  0.5000  0.5000 x3  2 Pt 2.43

Summary:
Formation energy from raw total energies   0.73 eV/atom
Total magnetization   0.005 μB per formula unit
Fermi-level density of states   6.7 states/eV/cell